# TbTm3Zr

TbTm3Zr after structural relaxation (GGA-PBE, Alexandria via LeMat-Bulk).

Lattice parameters (Å, degrees): 4.2998 15.1837 9.9985 90.00 90.00 90.00
Closest atoms and distances in Å follow each position.
Space group Cmmm (No. 65)
One atom of each set of equivalent atoms:
Tb: 0.0000 0.1534 0.0000 [4 per cell]  6 Tm 3.40-3.72, 2 Tb 3.64
Tm: 0.0003 0.9999 0.3258 [4 per cell]  2 Zr 3.26-3.27, 5 Tm 3.45-3.48
Tm: 0.0000 0.3274 0.2616 [8 per cell]  4 Tm 3.18-3.45, 3 Zr 3.21-3.25, 2 Tb 3.40
Zr: 0.0000 0.1818 0.5000 [4 per cell]  2 Zr 2.99, 8 Tm 3.21-3.27

Computed properties:
- DOS(E_F) (states/eV/cell) = 22.59
- E above lowest polymorph (meV per atom) = 278
- formation enthalpy at 0 K (kJ/mol of formula units) = 162